[1]
Compound: CaMnCu3Ru3O12
Source: the Alexandria database
Functional: PBE with a Hubbard U
Structure: optimized geometry

Structure (POSCAR):
```
CaMnCu3Ru3O12
1.0
3.7598 -5.3102 -0.0047
3.7598 5.3102 -0.0047
-3.7337 0.0000 5.3286
Ca Mn Cu Ru O
1 1 3 3 12
direct
0.0000 0.0000 0.0000
0.5000 0.5000 0.5000
0.0000 0.5000 0.5000
0.5000 0.5000 0.0000
0.5000 0.0000 0.5000
0.0000 0.5000 0.0000
0.0000 0.0000 0.5000
0.5000 0.0000 0.0000
0.1615 0.4815 0.3006
0.8318 0.1376 0.3060
0.1682 0.8624 0.6940
0.8385 0.5185 0.6994
0.4815 0.3006 0.1615
0.1376 0.3060 0.8318
0.8624 0.6940 0.1682
0.5185 0.6994 0.8385
0.3006 0.1615 0.4815
0.3060 0.8318 0.1376
0.6940 0.1682 0.8624
0.6994 0.8385 0.5185
```

- DFT total energy: -131.66 eV/cell

=====

[2]
Compound: CaMn2Cu3Ru2O12
Source: the Alexandria database
Functional: PBE with a Hubbard U
Structure: optimized geometry

Structure (POSCAR):
```
CaMn2Cu3Ru2O12
1.0
-3.8306 -0.2767 -5.2322
-1.2223 -6.1479 -1.6838
-6.9284 -3.2979 -0.3638
Ca Mn Cu Ru O
1 2 3 2 12
direct
0.0000 0.0000 0.0000
0.0000 0.5000 0.5000
0.5000 0.0000 0.5000
0.5000 0.5000 0.0000
0.0000 0.0000 0.5000
0.5000 0.5000 0.5000
0.0000 0.5000 0.0000
0.5000 0.0000 0.0000
0.6991 0.3093 0.1621
0.6907 0.3009 0.8379
0.3093 0.6991 0.1621
0.3009 0.6907 0.8379
0.8299 0.8299 0.4754
0.1761 0.1761 0.1366
0.8239 0.8239 0.8634
0.1701 0.1701 0.5246
0.5156 0.8608 0.2985
0.8608 0.5156 0.2985
0.1392 0.4844 0.7015
0.4844 0.1392 0.7015
```

- DFT total energy: -131.10 eV/cell

=====

[3]
Compound: CaMn2V4CuO12
Source: the Alexandria database
Functional: PBE with a Hubbard U
Structure: optimized geometry

Structure (POSCAR):
```
CaMn2V4CuO12
1.0
-3.6325 1.8719 5.0342
1.8281 -6.1489 0.9435
3.3949 -0.4317 5.5073
Ca Mn V Cu O
1 2 4 1 12
direct
0.0000 0.0000 0.0000
0.5000 0.5000 0.0000
0.0000 0.5000 0.5000
0.0000 0.5000 0.0000
0.5000 0.5000 0.5000
0.5000 0.0000 0.0000
0.0000 0.0000 0.5000
0.5000 0.0000 0.5000
0.8195 0.5338 0.2857
0.1805 0.4662 0.7143
0.8195 0.1052 0.7143
0.1805 0.8948 0.2857
0.6904 0.1862 0.1234
0.3096 0.8138 0.8766
0.3096 0.1862 0.5042
0.6904 0.8138 0.4958
0.4922 0.3007 0.8085
0.5078 0.6993 0.1915
0.8908 0.6993 0.8085
0.1092 0.3007 0.1915
```

- DFT total energy: -148.61 eV/cell

=====

Q: Which DOS at the Fermi energy values were calculated for the entries above? A: 6.84; 8.43; 3.47, in states/eV per cell.